1.
First-principles (GGA-PBE) data for BaI3Br after structural relaxation, as listed in Alexandria via LeMat-Bulk.

Properties
Total moment = 2.000 Bohr magnetons per cell

Cell and atoms, written as POSCAR:
```
BaI3Br
1.0
6.823 0.000 0.000
0.000 6.823 0.000
0.000 0.000 6.823
Ba I Br
1 3 1
Direct
0.000 0.000 0.000
0.000 0.000 0.500
0.000 0.500 0.000
0.500 0.000 0.000
0.500 0.500 0.500
```

---

2.
First-principles (GGA-PBE) data for BaI3Br after structural relaxation, as listed in Alexandria via LeMat-Bulk.

Properties
Total moment = 0.000 Bohr magnetons per cell

Cell and atoms, written as POSCAR:
```
BaI3Br
1.0
6.102 0.000 0.000
0.000 6.102 0.000
0.000 0.000 6.102
Ba I Br
1 3 1
Direct
0.000 0.000 0.000
0.000 0.500 0.500
0.500 0.000 0.500
0.500 0.500 0.000
0.500 0.500 0.500
```

---

Tell me which of them is the least stable. Sure, it is 1.

---

1.
First-principles (GGA-PBE) data for Ba4IBr6 after structural relaxation, as listed in Alexandria via LeMat-Bulk.

Properties
Total moment = 1.006 Bohr magnetons per cell

Cell and atoms, written as POSCAR:
```
Ba4IBr6
1.0
-4.193 4.193 6.605
4.193 -4.193 6.605
4.193 4.193 -6.605
Ba I Br
4 1 6
Direct
0.188 0.188 0.577
0.389 0.812 0.000
0.611 0.611 0.423
0.812 0.389 0.000
0.000 0.000 0.000
0.000 0.500 0.500
0.152 0.496 0.000
0.496 0.152 0.000
0.500 0.000 0.500
0.504 0.504 0.656
0.848 0.848 0.344
```

---

2.
First-principles (GGA-PBE) data for Ba4IBr6 after structural relaxation, as listed in Alexandria via LeMat-Bulk.

Properties
Total moment = 0.175 Bohr magnetons per cell

Cell and atoms, written as POSCAR:
```
Ba4IBr6
1.0
10.034 0.000 0.000
-5.017 8.690 0.000
0.000 0.000 4.639
Ba I Br
4 1 6
Direct
0.000 0.000 0.000
0.019 0.510 0.500
0.490 0.510 0.500
0.490 0.981 0.500
0.667 0.333 0.000
0.207 0.413 0.000
0.207 0.793 0.000
0.270 0.135 0.500
0.587 0.793 0.000
0.865 0.135 0.500
0.865 0.730 0.500
```

---

Tell me which of them is the least stable. Sure, it is 1.

---

1.
First-principles (GGA-PBE) data for BaI2Br after structural relaxation, as listed in Alexandria via LeMat-Bulk.

Properties
Total moment = 0.000 Bohr magnetons per cell

Cell and atoms, written as POSCAR:
```
BaI2Br
1.0
-2.484 2.484 13.215
2.484 -2.484 13.215
2.484 2.484 -13.215
Ba I Br
2 4 2
Direct
0.000 0.000 0.000
0.750 0.250 0.500
0.118 0.625 0.993
0.375 0.368 0.493
0.632 0.125 0.007
0.875 0.882 0.507
0.250 0.750 0.500
0.500 0.500 0.000
```

---

2.
First-principles (GGA-PBE) data for BaI2Br after structural relaxation, as listed in Alexandria via LeMat-Bulk.

Properties
Total moment = 1.000 Bohr magnetons per cell

Cell and atoms, written as POSCAR:
```
BaI2Br
1.0
0.000 4.265 4.265
4.265 0.000 4.265
4.265 4.265 0.000
Ba I Br
1 2 1
Direct
0.000 0.000 0.000
0.250 0.250 0.250
0.750 0.750 0.750
0.500 0.500 0.500
```

---

Tell me which of them is the least stable. Sure, it is 2.

---

1.
First-principles (GGA-PBE) data for KBaIBr after structural relaxation, as listed in Alexandria via LeMat-Bulk.

Properties
Total moment = 0.000 Bohr magnetons per cell

Cell and atoms, written as POSCAR:
```
KBaIBr
1.0
2.905 1.677 12.908
-2.905 1.677 12.908
0.000 -3.355 12.908
K Ba I Br
2 2 2 2
Direct
0.123 0.123 0.123
0.877 0.877 0.877
0.296 0.296 0.296
0.704 0.704 0.704
0.395 0.395 0.395
0.605 0.605 0.605
0.209 0.209 0.209
0.791 0.791 0.791
```

---

2.
First-principles (GGA-PBE) data for KBaIBr after structural relaxation, as listed in Alexandria via LeMat-Bulk.

Properties
Total moment = 0.669 Bohr magnetons per cell

Cell and atoms, written as POSCAR:
```
KBaIBr
1.0
0.000 4.240 4.240
4.240 0.000 4.240
4.240 4.240 0.000
K Ba I Br
1 1 1 1
Direct
0.000 0.000 0.000
0.500 0.500 0.500
0.750 0.750 0.750
0.250 0.250 0.250
```

---

Tell me which of them is the least stable. Sure, it is 2.